# 1
Here is a geometry-optimized Gd3P2Se structure from OQMD via LeMat-Bulk. Energies are from PBE-GGA.

Unit cell a=4.064 b=4.064 c=10.044 alpha=90.00 beta=90.00 gamma=120.00
Atoms (fractional coordinates):
P  0.333  0.667  0.335
P  0.667  0.333  0.665
Gd  0.000  0.000  0.500
Gd  0.333  0.667  0.815
Gd  0.667  0.333  0.185
Se  0.000  0.000  0.000

Properties
symmetry	P-3m1
calculated total energy	-6.47	eV/atom

---

# 2
Here is a geometry-optimized SmGd2P3 structure from OQMD via LeMat-Bulk. Energies are from PBE-GGA.

Unit cell a=4.069 b=4.069 c=9.961 alpha=90.00 beta=90.00 gamma=120.00
Atoms (fractional coordinates):
Sm  0.000  0.000  0.500
Gd  0.667  0.333  0.165
Gd  0.333  0.667  0.835
P  0.667  0.333  0.669
P  0.333  0.667  0.331
P  0.000  0.000  0.000

Properties
symmetry	P-3m1
calculated total energy	-6.64	eV/atom

---

Total moment? In order: 0.01, 0.01 μB per cell.